A plane-wave DFT calculation with GGA-PBE was carried out for a geometry-optimized ZnCo2Mo structure. Values from VASP.

```
&SYSTEM
  ibrav = 0, nat = 4, ntyp = 3
/
ATOMIC_SPECIES
Co 58.93 Co.upf
Mo 95.94 Mo.upf
Zn 65.41 Zn.upf
ATOMIC_POSITIONS crystal
Co 0.0000 0.0000 0.0000
Co 0.2500 0.2500 0.2500
Mo 0.5000 0.5000 0.5000
Zn 0.7500 0.7500 0.7500
CELL_PARAMETERS angstrom
-2.4874 3.0707 -1.3106
-1.8011 -0.2354 -3.7463
-4.1044 -0.6305 -0.3006
```

Summary:
ΔE_f   242 meV/atom
E   -6.337 eV/atom